Compound: Al2SnBi
Source: Alexandria
Functional: PBE
Structure: optimized geometry

Properties
energy relative to the elements = 196 meV/atom
space-group type = I-42d

Cell lengths 6.430, 6.430, 7.717 Å; angles 65.38, 65.38, 90.00 degrees
Atoms (fractional coordinates):
Bi  0.750  0.250  0.500
Sn  0.500  0.500  0.000
Al  0.136  0.625  0.250
Sn  0.250  0.750  0.500
Al  0.875  0.864  0.750
Al  0.614  0.125  0.250
Bi  0.000  0.000  0.000
Al  0.375  0.386  0.750



Compound: AlSnBi2
Source: Alexandria
Functional: PBE
Structure: optimized geometry

Properties
energy relative to the elements = 191 meV/atom
space-group type = P4/mmm

Cell lengths 3.836, 3.836, 7.480 Å; angles 90.00, 90.00, 90.00 degrees
Atoms (fractional coordinates):
Bi  0.000  0.000  0.229
Sn  0.500  0.500  0.500
Al  0.500  0.500  0.000
Bi  0.000  0.000  0.771



Compound: AlSnBi2
Source: Alexandria
Functional: PBE
Structure: optimized geometry

Properties
energy relative to the elements = 173 meV/atom
space-group type = I-42d

Cell lengths 6.761, 6.761, 8.278 Å; angles 65.90, 65.90, 90.00 degrees
Atoms (fractional coordinates):
Bi  0.875  0.845  0.750
Bi  0.595  0.125  0.250
Bi  0.375  0.405  0.750
Sn  0.000  0.000  0.000
Bi  0.155  0.625  0.250
Sn  0.750  0.250  0.500
Al  0.500  0.500  0.000
Al  0.250  0.750  0.500



Compound: AlSnBi2
Source: Alexandria
Functional: PBE
Structure: optimized geometry

Properties
energy relative to the elements = 205 meV/atom
space-group type = R-3m

Cell lengths 3.502, 3.502, 11.320 Å; angles 81.10, 81.10, 60.00 degrees
Atoms (fractional coordinates):
Al  0.500  0.500  0.500
Bi  0.901  0.901  0.297
Bi  0.099  0.099  0.703
Sn  0.000  0.000  0.000



Compound: AlSnBi3
Source: Alexandria
Functional: PBE
Structure: optimized geometry

Properties
energy relative to the elements = 824 meV/atom
space-group type = Pm-3m

Cell lengths 5.825, 5.825, 5.825 Å; angles 90.00, 90.00, 90.00 degrees
Atoms (fractional coordinates):
Bi  0.500  0.000  0.000
Sn  0.000  0.000  0.000
Al  0.500  0.500  0.500
Bi  0.000  0.500  0.000
Bi  0.000  0.000  0.500



Compound: Al2SnBi2
Source: Alexandria
Functional: PBE
Structure: optimized geometry

Properties
energy relative to the elements = 200 meV/atom
space-group type = P4/mbm

Cell lengths 7.897, 7.897, 4.157 Å; angles 90.00, 90.00, 90.00 degrees
Atoms (fractional coordinates):
Al  0.121  0.379  0.000
Sn  0.000  0.000  0.000
Sn  0.500  0.500  0.000
Al  0.379  0.879  0.000
Al  0.879  0.621  0.000
Bi  0.316  0.184  0.500
Bi  0.684  0.816  0.500
Bi  0.184  0.684  0.500
Al  0.621  0.121  0.000
Bi  0.816  0.316  0.500



Compound: AlSnBi
Source: Alexandria
Functional: PBE
Structure: optimized geometry

Properties
energy relative to the elements = 160 meV/atom
space-group type = P3m1

Cell lengths 4.304, 4.304, 5.178 Å; angles 90.00, 90.00, 120.00 degrees
Atoms (fractional coordinates):
Bi  0.000  0.000  0.033
Sn  0.333  0.667  0.627
Al  0.667  0.333  0.339



Compound: AlTcSnBi2
Source: Alexandria
Functional: PBE
Structure: optimized geometry

Properties
energy relative to the elements = 437 meV/atom
space-group type = P4/mmm

Cell lengths 5.361, 4.822, 5.361 Å; angles 90.00, 90.00, 90.00 degrees
Atoms (fractional coordinates):
Bi  0.500  0.000  0.000
Bi  0.000  0.000  0.500
Sn  0.500  0.500  0.500
Tc  0.000  0.000  0.000
Al  0.000  0.500  0.000



Compound: Sr2Al2Bi
Source: Alexandria
Functional: PBE
Structure: optimized geometry

Properties
energy relative to the elements = -296 meV/atom
space-group type = P4/mbm

Cell lengths 7.886, 7.886, 4.991 Å; angles 90.00, 90.00, 90.00 degrees
Atoms (fractional coordinates):
Sr  0.325  0.175  0.500
Bi  0.500  0.500  0.000
Sr  0.825  0.325  0.500
Bi  0.000  0.000  0.000
Al  0.382  0.882  0.000
Al  0.882  0.618  0.000
Sr  0.175  0.675  0.500
Al  0.118  0.382  0.000
Al  0.618  0.118  0.000
Sr  0.675  0.825  0.500



Compound: Sr2AlBi2
Source: Alexandria
Functional: PBE
Structure: optimized geometry

Properties
energy relative to the elements = -470 meV/atom
space-group type = P4/mbm

Cell lengths 8.290, 8.290, 4.930 Å; angles 90.00, 90.00, 90.00 degrees
Atoms (fractional coordinates):
Sr  0.327  0.173  0.500
Al  0.500  0.500  0.000
Sr  0.827  0.327  0.500
Bi  0.135  0.365  0.000
Bi  0.635  0.135  0.000
Sr  0.173  0.673  0.500
Bi  0.865  0.635  0.000
Al  0.000  0.000  0.000
Bi  0.365  0.865  0.000
Sr  0.673  0.827  0.500



Compound: SrAl2Bi2
Source: Alexandria
Functional: PBE
Structure: optimized geometry

Properties
energy relative to the elements = -6 meV/atom
space-group type = P4/mbm

Cell lengths 8.566, 8.566, 3.989 Å; angles 90.00, 90.00, 90.00 degrees
Atoms (fractional coordinates):
Bi  0.642  0.142  0.000
Sr  0.500  0.500  0.000
Al  0.361  0.139  0.500
Al  0.139  0.639  0.500
Bi  0.858  0.642  0.000
Al  0.639  0.861  0.500
Bi  0.142  0.358  0.000
Bi  0.358  0.858  0.000
Sr  0.000  0.000  0.000
Al  0.861  0.361  0.500



Compound: SrAlBi2
Source: Alexandria
Functional: PBE
Structure: optimized geometry

Properties
energy relative to the elements = -286 meV/atom
space-group type = P4/mmm

Cell lengths 4.899, 4.948, 4.948 Å; angles 90.00, 90.00, 90.00 degrees
Atoms (fractional coordinates):
Bi  0.000  0.500  0.000
Bi  0.000  0.000  0.500
Sr  0.500  0.000  0.000
Al  0.500  0.500  0.500



Compound: Sr2AlBi2
Source: Alexandria
Functional: PBE
Structure: optimized geometry

Properties
energy relative to the elements = -278 meV/atom
space-group type = P4/mbm

Cell lengths 9.751, 9.751, 3.769 Å; angles 90.00, 90.00, 90.00 degrees
Atoms (fractional coordinates):
Bi  0.335  0.165  0.500
Al  0.000  0.000  0.000
Sr  0.363  0.863  0.000
Bi  0.665  0.835  0.500
Bi  0.835  0.335  0.500
Sr  0.863  0.637  0.000
Al  0.500  0.500  0.000
Sr  0.137  0.363  0.000
Sr  0.637  0.137  0.000
Bi  0.165  0.665  0.500



Compound: Sr2Al2Bi
Source: Alexandria
Functional: PBE
Structure: optimized geometry

Properties
energy relative to the elements = 129 meV/atom
space-group type = I4/mmm

Cell lengths 5.230, 5.230, 7.333 Å; angles 69.11, 69.11, 90.00 degrees
Atoms (fractional coordinates):
Sr  0.250  0.750  0.500
Sr  0.750  0.250  0.500
Al  0.595  0.595  0.810
Al  0.405  0.405  0.190
Bi  0.000  0.000  0.000



Compound: SrAlBi
Source: Alexandria
Functional: PBE
Structure: optimized geometry

Properties
energy relative to the elements = -362 meV/atom
space-group type = Immm

Cell lengths 5.187, 5.021, 8.806 Å; angles 106.56, 107.13, 90.00 degrees
Atoms (fractional coordinates):
Sr  0.366  0.866  0.732
Al  0.266  0.500  0.000
Bi  0.848  0.348  0.697
Sr  0.634  0.134  0.268
Al  0.734  0.500  0.000
Bi  0.152  0.652  0.303



Compound: SrAl2Bi2
Source: Alexandria
Functional: PBE
Structure: optimized geometry

Properties
energy relative to the elements = -130 meV/atom
space-group type = P4/mbm

Cell lengths 8.373, 8.373, 3.992 Å; angles 90.00, 90.00, 90.00 degrees
Atoms (fractional coordinates):
Al  0.886  0.614  0.000
Sr  0.000  0.000  0.000
Sr  0.500  0.500  0.000
Bi  0.173  0.673  0.500
Bi  0.327  0.173  0.500
Bi  0.827  0.327  0.500
Al  0.114  0.386  0.000
Al  0.614  0.114  0.000
Al  0.386  0.886  0.000
Bi  0.673  0.827  0.500



Compound: Sr3AlBi
Source: Alexandria
Functional: PBE
Structure: optimized geometry

Properties
energy relative to the elements = -69 meV/atom
space-group type = Pm-3m

Cell lengths 6.041, 6.041, 6.041 Å; angles 90.00, 90.00, 90.00 degrees
Atoms (fractional coordinates):
Sr  0.500  0.000  0.000
Sr  0.000  0.000  0.500
Al  0.000  0.000  0.000
Bi  0.500  0.500  0.500
Sr  0.000  0.500  0.000



Compound: Sr2AlBi5
Source: Alexandria
Functional: PBE
Structure: optimized geometry

Properties
energy relative to the elements = -355 meV/atom
space-group type = I4mm

Cell lengths 7.077, 7.077, 7.148 Å; angles 119.67, 119.67, 90.00 degrees
Atoms (fractional coordinates):
Bi  0.727  0.727  0.453
Al  0.170  0.170  0.340
Bi  0.730  0.730  0.960
Sr  0.730  0.230  0.460
Bi  0.230  0.730  0.960
Bi  0.230  0.230  0.960
Bi  0.730  0.230  0.960
Sr  0.230  0.730  0.460



Compound: SrAlBi2
Source: Alexandria
Functional: PBE
Structure: optimized geometry

Properties
energy relative to the elements = -201 meV/atom
space-group type = R-3m

Cell lengths 4.282, 4.282, 8.578 Å; angles 75.55, 75.55, 60.00 degrees
Atoms (fractional coordinates):
Sr  0.500  0.500  0.500
Al  0.000  0.000  0.000
Bi  0.267  0.267  0.198
Bi  0.733  0.733  0.802



Compound: Sr5Al2Bi
Source: Alexandria
Functional: PBE
Structure: optimized geometry

Properties
energy relative to the elements = -380 meV/atom
space-group type = I4/mcm

Cell lengths 8.633, 8.633, 10.112 Å; angles 115.27, 115.27, 90.00 degrees
Atoms (fractional coordinates):
Sr  0.815  0.968  0.283
Al  0.391  0.891  0.000
Al  0.891  0.609  0.000
Al  0.609  0.109  0.000
Sr  0.315  0.815  0.283
Al  0.109  0.391  0.000
Sr  0.468  0.315  0.283
Sr  0.685  0.185  0.717
Sr  0.968  0.468  0.283
Sr  0.000  0.000  0.000
Sr  0.185  0.032  0.717
Bi  0.750  0.750  0.500
Sr  0.500  0.500  0.000
Sr  0.032  0.532  0.717
Bi  0.250  0.250  0.500
Sr  0.532  0.685  0.717



| no. | D(E_F) (states/eV per cell) | E (eV per cell) |
| --- | --- | --- |
| 1 | 5.22 | -29.17 |
| 2 | 1.95 | -14.74 |
| 3 | 4.25 | -29.63 |
| 4 | 2.10 | -14.69 |
| 5 | 4.54 | -15.27 |
| 6 | 5.92 | -36.50 |
| 7 | 1.47 | -11.15 |
| 8 | 6.17 | -23.69 |
| 9 | 8.60 | -32.42 |
| 10 | 6.73 | -34.44 |
| 11 | 6.14 | -33.91 |
| 12 | 1.19 | -14.33 |
| 13 | 2.46 | -32.51 |
| 14 | 2.52 | -14.08 |
| 15 | 1.82 | -20.79 |
| 16 | 5.14 | -35.16 |
| 17 | 6.00 | -13.01 |
| 18 | 4.34 | -29.35 |
| 19 | 2.73 | -13.99 |
| 20 | 15.78 | -45.63 |